The following is a PBE-GGA calculation of a relaxed structure of Ba2ZnSe, from Alexandria.

Properties
* E_form (uncorrected): -0.88 eV per atom
* symmetry: Imm2, No. 44
* D(E_F): 3.04 states/eV/cell
* offset from the most stable computed form: 0.070 eV per atom

Cell lengths 8.9646, 8.9646, 8.9646 Å; angles 152.65, 151.45, 39.94 degrees
Fractional positions:
Ba  0.9666  0.9666  0.0000
Ba  0.6967  0.1967  0.5000
Se  0.5415  0.5415  0.0000
Zn  0.2952  0.7952  0.5000